Record 1
Density functional theory data (PBE) for a relaxed TaNiBr2 crystal.

```
4
Lattice="3.290 0.000 0.000 0.000 3.290 0.000 0.000 0.000 6.270" Properties=species:S:1:pos:R:3 pbc="T T T"
Ta 0.000 0.000 0.000
Ni 0.000 0.000 3.135
Br 1.645 1.645 1.565
Br 1.645 1.645 4.705
```

Calculated values
N(E_F) (states/eV/f.u.): 2.73
Energy relative to the elements, uncorrected (eV/atom): 0.58


Record 2
Density functional theory data (PBE) for a relaxed TaNiBr2 crystal.

```
4
Lattice="3.046 -4.263 0.000 3.046 4.263 0.000 -1.304 0.000 2.926" Properties=species:S:1:pos:R:3 pbc="T T T"
Ta 0.000 0.000 0.000
Ni 3.046 0.000 0.000
Br 1.523 2.132 0.000
Br 1.523 -2.132 0.000
```

Calculated values
N(E_F) (states/eV/f.u.): 3.19
Energy relative to the elements, uncorrected (eV/atom): 0.59


Record 3
Density functional theory data (PBE) for a relaxed Ta2NiBr crystal.

```
8
Lattice="-2.738 2.738 6.010 2.738 -2.738 6.010 2.738 2.738 -6.010" Properties=species:S:1:pos:R:3 pbc="T T T"
Ta 4.106 1.077 -1.502
Ta 1.077 1.369 1.502
Ta -1.369 1.661 4.507
Ta 1.661 1.369 7.512
Ni 0.000 0.000 0.000
Ni 0.000 2.738 3.005
Br 2.738 0.000 3.005
Br 0.000 0.000 6.010
```

Calculated values
N(E_F) (states/eV/f.u.): 1.88
Energy relative to the elements, uncorrected (eV/atom): 0.96


Record 4
Density functional theory data (PBE) for a relaxed TaNiBr2 crystal.

```
4
Lattice="8.031 -1.596 0.000 8.031 1.596 0.000 -1.013 0.000 3.935" Properties=species:S:1:pos:R:3 pbc="T T T"
Ta 0.000 0.000 0.000
Ni 7.525 0.000 1.967
Br 4.921 0.000 3.397
Br 10.129 0.000 0.538
```

Calculated values
N(E_F) (states/eV/f.u.): 4.15
Energy relative to the elements, uncorrected (eV/atom): -0.05


Record 5
Density functional theory data (PBE) for a relaxed Ta2NiBr crystal.

```
4
Lattice="0.000 3.261 3.261 3.261 0.000 3.261 3.261 3.261 0.000" Properties=species:S:1:pos:R:3 pbc="T T T"
Ta 0.000 0.000 0.000
Ta 1.630 1.630 1.630
Ni 4.891 4.891 4.891
Br 3.261 3.261 3.261
```

Calculated values
N(E_F) (states/eV/f.u.): 5.20
Energy relative to the elements, uncorrected (eV/atom): 0.97


Record 6
Density functional theory data (PBE) for a relaxed Ta2NiBr crystal.

```
4
Lattice="0.000 3.182 3.182 3.182 0.000 3.182 3.182 3.182 0.000" Properties=species:S:1:pos:R:3 pbc="T T T"
Ta 1.591 1.591 1.591
Ta 4.773 4.773 4.773
Ni 0.000 0.000 0.000
Br 3.182 3.182 3.182
```

Calculated values
N(E_F) (states/eV/f.u.): 5.22
Energy relative to the elements, uncorrected (eV/atom): 0.52


Record 7
Density functional theory data (PBE) for a relaxed TaNiBr2 crystal.

```
4
Lattice="-2.146 2.146 4.004 2.146 -2.146 4.004 2.146 2.146 -4.004" Properties=species:S:1:pos:R:3 pbc="T T T"
Ta 0.000 0.000 0.000
Ni 0.000 2.146 2.002
Br 2.146 0.000 2.002
Br 0.000 0.000 4.004
```

Calculated values
N(E_F) (states/eV/f.u.): 2.96
Energy relative to the elements, uncorrected (eV/atom): 0.89


Record 8
Density functional theory data (PBE) for a relaxed TaNiBr2 crystal.

```
4
Lattice="-1.564 2.449 6.217 1.564 -2.449 6.217 1.564 2.449 -6.217" Properties=species:S:1:pos:R:3 pbc="T T T"
Ta 0.000 0.000 0.000
Ni 1.564 0.000 1.883
Br 0.000 0.000 6.540
Br 0.000 2.449 3.999
```

Calculated values
N(E_F) (states/eV/f.u.): 2.84
Energy relative to the elements, uncorrected (eV/atom): 0.33


Record 9
Density functional theory data (PBE) for a relaxed TaNiBr crystal.

```
3
Lattice="0.000 3.051 3.051 3.051 0.000 3.051 3.051 3.051 0.000" Properties=species:S:1:pos:R:3 pbc="T T T"
Ta 0.000 0.000 0.000
Ni 4.577 4.577 4.577
Br 1.526 1.526 1.526
```

Calculated values
N(E_F) (states/eV/f.u.): 2.87
Energy relative to the elements, uncorrected (eV/atom): 0.75


Record 10
Density functional theory data (PBE) for a relaxed TaNiBr2 crystal.

```
4
Lattice="0.000 3.348 3.348 3.348 0.000 3.348 3.348 3.348 0.000" Properties=species:S:1:pos:R:3 pbc="T T T"
Ta 0.000 0.000 0.000
Ni 5.022 5.022 5.022
Br 1.674 1.674 1.674
Br 3.348 3.348 3.348
```

Calculated values
N(E_F) (states/eV/f.u.): 2.84
Energy relative to the elements, uncorrected (eV/atom): 0.93


Record 11
Density functional theory data (PBE) for a relaxed TaNiBr2 crystal.

```
4
Lattice="3.204 0.000 0.000 0.000 4.396 0.000 -0.491 0.000 5.491" Properties=species:S:1:pos:R:3 pbc="T T T"
Ta 0.000 0.000 0.000
Ni 1.357 0.000 2.746
Br 0.572 2.198 1.377
Br 2.142 2.198 4.114
```

Calculated values
N(E_F) (states/eV/f.u.): 4.46
Energy relative to the elements, uncorrected (eV/atom): 0.60


Record 12
Density functional theory data (PBE) for a relaxed TaNiBr2 crystal.

```
4
Lattice="3.099 0.000 0.000 0.000 4.300 0.000 0.000 0.000 5.632" Properties=species:S:1:pos:R:3 pbc="T T T"
Ta 0.000 0.000 0.000
Ni 1.549 0.000 2.816
Br 0.000 2.150 2.816
Br 1.549 2.150 0.000
```

Calculated values
N(E_F) (states/eV/f.u.): 4.30
Energy relative to the elements, uncorrected (eV/atom): 0.71


| no. | electronic total energy (eV per cell) |
| --- | --- |
| 1 | -18.678 |
| 2 | -18.631 |
| 3 | -54.606 |
| 4 | -21.172 |
| 5 | -27.270 |
| 6 | -29.096 |
| 7 | -17.403 |
| 8 | -19.650 |
| 9 | -17.066 |
| 10 | -17.255 |
| 11 | -18.581 |
| 12 | -18.158 |